# 1
# SbAsSe2S (PBE-GGA, relaxed)
# **DOS(E_F)**: 1.0613 states/eV per atom
# **Calculated total energy**: -14.771 eV per formula unit
# **Offset from the most stable computed form**: 0.515 eV/atom
# **Formation energy from raw total energies**: 1.020 eV/atom
data_SbAsSe2S
_chemical_formula_sum 'Sb1 As1 Se2 S1'
_space_group_name_H-M_alt 'P 4/m m m'
_space_group_IT_number 123
_space_group_name_Hall '-P 4 2'
_cell_length_a 5.203
_cell_length_b 5.203
_cell_length_c 5.590
_cell_angle_alpha 90.00
_cell_angle_beta 90.00
_cell_angle_gamma 90.00
loop_
_atom_site_label
_atom_site_type_symbol
_atom_site_fract_x
_atom_site_fract_y
_atom_site_fract_z
Sb1 Sb 0.000 0.000 0.000
As1 As 0.000 0.000 0.500
Se1 Se 0.000 0.500 0.000
S1 S 0.500 0.500 0.500

***

# 2
# SbAsSe2S (PBE-GGA, relaxed)
# **DOS(E_F)**: 0.4579 states/eV per atom
# **Calculated total energy**: -17.345 eV per formula unit
# **Offset from the most stable computed form**: 0.000 eV/atom
# **Formation energy from raw total energies**: 0.505 eV/atom
data_SbAsSe2S
_chemical_formula_sum 'Sb1 As1 Se2 S1'
_space_group_name_H-M_alt 'P 4/m m m'
_space_group_IT_number 123
_space_group_name_Hall '-P 4 2'
_cell_length_a 4.845
_cell_length_b 4.845
_cell_length_c 4.917
_cell_angle_alpha 90.00
_cell_angle_beta 90.00
_cell_angle_gamma 90.00
loop_
_atom_site_label
_atom_site_type_symbol
_atom_site_fract_x
_atom_site_fract_y
_atom_site_fract_z
Sb1 Sb 0.000 0.000 0.000
As1 As 0.500 0.500 0.000
Se1 Se 0.000 0.500 0.500
S1 S 0.500 0.500 0.500

***

# 3
# Sm4Sb2AsS (PBE-GGA, relaxed)
# **DOS(E_F)**: 0.1916 states/eV per atom
# **Calculated total energy**: -47.604 eV per formula unit
# **Formation energy from raw total energies**: -1.463 eV/atom
data_Sm4Sb2AsS
_chemical_formula_sum 'Sm4 Sb2 As1 S1'
_space_group_name_H-M_alt 'P 1 2/m 1'
_space_group_IT_number 10
_cell_length_a 7.420
_cell_length_b 4.292
_cell_length_c 7.472
_cell_angle_alpha 90.00
_cell_angle_beta 109.32
_cell_angle_gamma 90.00
loop_
_space_group_symop_operation_xyz
'x,y,z'
'-x,-y,-z'
'-x,y,-z'
'x,-y,z'
loop_
_atom_site_label
_atom_site_type_symbol
_atom_site_fract_x
_atom_site_fract_y
_atom_site_fract_z
Sm1 Sm 0.244 0.000 0.232
Sm2 Sm 0.256 0.500 0.767
Sb1 Sb 0.000 0.000 0.500
Sb2 Sb 0.500 0.500 0.500
As1 As 0.500 0.000 0.000
S1 S 0.000 0.500 0.000

***

# 4
# Sm6SbAs2S3 (PBE-GGA, relaxed)
# **DOS(E_F)**: 0.3633 states/eV per atom
# **Calculated total energy**: -74.660 eV per formula unit
# **Formation energy from raw total energies**: -1.712 eV/atom
data_Sm6SbAs2S3
_chemical_formula_sum 'Sm12 Sb2 As4 S6'
_space_group_name_H-M_alt 'C 1 2/m 1'
_space_group_IT_number 12
_cell_length_a 18.129
_cell_length_b 4.168
_cell_length_c 8.317
_cell_angle_alpha 90.00
_cell_angle_beta 102.89
_cell_angle_gamma 90.00
loop_
_space_group_symop_operation_xyz
'x,y,z'
'-x,-y,-z'
'-x,y,-z'
'x,-y,z'
'x+1/2,y+1/2,z'
'-x+1/2,-y+1/2,-z'
'-x+1/2,y+1/2,-z'
'x+1/2,-y+1/2,z'
loop_
_atom_site_label
_atom_site_type_symbol
_atom_site_fract_x
_atom_site_fract_y
_atom_site_fract_z
Sm1 Sm 0.000 0.000 0.233
Sm2 Sm 0.167 0.500 0.083
Sm3 Sm 0.173 0.500 0.588
Sb1 Sb 0.000 0.500 0.500
As1 As 0.167 0.000 0.834
S1 S 0.000 0.500 0.000
S2 S 0.165 0.000 0.332

***

# 5
# Sm6Sb3As2S (PBE-GGA, relaxed)
# **DOS(E_F)**: 0.1784 states/eV per atom
# **Calculated total energy**: -71.191 eV per formula unit
# **Formation energy from raw total energies**: -1.424 eV/atom
data_Sm6Sb3As2S
_chemical_formula_sum 'Sm12 Sb6 As4 S2'
_space_group_name_H-M_alt 'C 1 2/m 1'
_space_group_IT_number 12
_cell_length_a 18.822
_cell_length_b 4.304
_cell_length_c 8.652
_cell_angle_alpha 90.00
_cell_angle_beta 103.72
_cell_angle_gamma 90.00
loop_
_space_group_symop_operation_xyz
'x,y,z'
'-x,-y,-z'
'-x,y,-z'
'x,-y,z'
'x+1/2,y+1/2,z'
'-x+1/2,-y+1/2,-z'
'-x+1/2,y+1/2,-z'
'x+1/2,-y+1/2,z'
loop_
_atom_site_label
_atom_site_type_symbol
_atom_site_fract_x
_atom_site_fract_y
_atom_site_fract_z
Sm1 Sm 0.003 0.000 0.241
Sm2 Sm 0.162 0.500 0.093
Sm3 Sm 0.170 0.500 0.574
Sb1 Sb 0.000 0.500 0.500
Sb2 Sb 0.167 0.000 0.834
As1 As 0.166 0.000 0.332
S1 S 0.000 0.500 0.000

***

# 6
# Tb6SbAs2S3 (PBE-GGA, relaxed)
# **DOS(E_F)**: 0.3548 states/eV per atom
# **Calculated total energy**: -74.007 eV per formula unit
# **Formation energy from raw total energies**: -1.702 eV/atom
data_Tb6SbAs2S3
_chemical_formula_sum 'Tb12 Sb2 As4 S6'
_space_group_name_H-M_alt 'C 1 2/m 1'
_space_group_IT_number 12
_cell_length_a 17.789
_cell_length_b 4.089
_cell_length_c 8.163
_cell_angle_alpha 90.00
_cell_angle_beta 102.89
_cell_angle_gamma 90.00
loop_
_space_group_symop_operation_xyz
'x,y,z'
'-x,-y,-z'
'-x,y,-z'
'x,-y,z'
'x+1/2,y+1/2,z'
'-x+1/2,-y+1/2,-z'
'-x+1/2,y+1/2,-z'
'x+1/2,-y+1/2,z'
loop_
_atom_site_label
_atom_site_type_symbol
_atom_site_fract_x
_atom_site_fract_y
_atom_site_fract_z
Tb1 Tb 0.000 0.000 0.231
Tb2 Tb 0.167 0.500 0.083
Tb3 Tb 0.173 0.500 0.588
Sb1 Sb 0.000 0.500 0.500
As1 As 0.167 0.000 0.834
S1 S 0.000 0.500 0.000
S2 S 0.165 0.000 0.332

***

# 7
# Tb4Sb2AsS (PBE-GGA, relaxed)
# **DOS(E_F)**: 0.1772 states/eV per atom
# **Calculated total energy**: -47.112 eV per formula unit
# **Formation energy from raw total energies**: -1.446 eV/atom
data_Tb4Sb2AsS
_chemical_formula_sum 'Tb4 Sb2 As1 S1'
_space_group_name_H-M_alt 'P 1 2/m 1'
_space_group_IT_number 10
_cell_length_a 7.287
_cell_length_b 4.216
_cell_length_c 7.348
_cell_angle_alpha 90.00
_cell_angle_beta 109.30
_cell_angle_gamma 90.00
loop_
_space_group_symop_operation_xyz
'x,y,z'
'-x,-y,-z'
'-x,y,-z'
'x,-y,z'
loop_
_atom_site_label
_atom_site_type_symbol
_atom_site_fract_x
_atom_site_fract_y
_atom_site_fract_z
Tb1 Tb 0.244 0.000 0.232
Tb2 Tb 0.256 0.500 0.768
Sb1 Sb 0.000 0.000 0.500
Sb2 Sb 0.500 0.500 0.500
As1 As 0.000 0.500 0.000
S1 S 0.500 0.000 0.000

***

# 8
# Tb4SbAsS2 (PBE-GGA, relaxed)
# **DOS(E_F)**: 0.3741 states/eV per atom
# **Calculated total energy**: -48.770 eV per formula unit
# **Formation energy from raw total energies**: -1.653 eV/atom
data_Tb4SbAsS2
_chemical_formula_sum 'Tb4 Sb1 As1 S2'
_space_group_name_H-M_alt 'P 1 2/m 1'
_space_group_IT_number 10
_cell_length_a 7.080
_cell_length_b 4.112
_cell_length_c 7.152
_cell_angle_alpha 90.00
_cell_angle_beta 109.61
_cell_angle_gamma 90.00
loop_
_space_group_symop_operation_xyz
'x,y,z'
'-x,-y,-z'
'-x,y,-z'
'x,-y,z'
loop_
_atom_site_label
_atom_site_type_symbol
_atom_site_fract_x
_atom_site_fract_y
_atom_site_fract_z
Tb1 Tb 0.232 0.000 0.232
Tb2 Tb 0.242 0.500 0.758
Sb1 Sb 0.500 0.500 0.500
As1 As 0.500 0.000 0.000
S1 S 0.000 0.000 0.500
S2 S 0.000 0.500 0.000

***

- Number 2 is which compound?
  SbAsSe2S

***

- Which of these has the highest calculated total energy?
  number 1

***

- Which formula does entry 2 have?
  SbAsSe2S

***

- Look up the formation energy from raw total energies of the third one.
  -1.463 eV/atom